VASP calculation (PBE-GGA) on KAg2Au after structural relaxation.

abc: 7.1781 7.1781 7.1781
angles: 90.00 90.00 90.00
With the nearest neighbours (Å) after each atom.
Fractional coordinates of all 16 atoms:
K1 0.0000 0.0000 0.0000  4 Ag 3.11, 4 Au 3.11
K2 0.0000 0.5000 0.5000  4 Ag 3.11, 4 Au 3.11
K3 0.5000 0.0000 0.5000  4 Ag 3.11, 4 Au 3.11
K4 0.5000 0.5000 0.0000  4 Ag 3.11, 4 Au 3.11
Ag1 0.0000 0.0000 0.5000  4 Ag 3.11, 4 Au 3.11
Ag2 0.0000 0.5000 0.0000  4 Ag 3.11, 4 Au 3.11
Ag3 0.2500 0.2500 0.2500  4 Ag 3.11, 4 K 3.11
Ag4 0.2500 0.7500 0.7500  4 K 3.11, 4 Ag 3.11
Ag5 0.5000 0.0000 0.0000  4 Ag 3.11, 4 Au 3.11
Ag6 0.5000 0.5000 0.5000  4 Ag 3.11, 4 Au 3.11
Ag7 0.7500 0.2500 0.7500  4 K 3.11, 4 Ag 3.11
Ag8 0.7500 0.7500 0.2500  4 Ag 3.11, 4 K 3.11
Au1 0.2500 0.2500 0.7500  4 K 3.11, 4 Ag 3.11
Au2 0.2500 0.7500 0.2500  4 K 3.11, 4 Ag 3.11
Au3 0.7500 0.2500 0.2500  4 K 3.11, 4 Ag 3.11
Au4 0.7500 0.7500 0.7500  4 K 3.11, 4 Ag 3.11

The value obtained for the total magnetic moment is 0.000 μB/atom. The formation energy comes out at 0.1812 eV per atom. Its energy above the most stable polymorph in this dataset is 285 meV per atom. As for the total energy: -2.34 eV/atom.

---

VASP calculation (PBE-GGA) on Li2IrPd2O6 after structural relaxation.

abc: 5.3820 5.3820 5.2435
angles: 102.56 102.56 116.14
With the nearest neighbours (Å) after each atom.
Fractional coordinates of all 11 atoms:
Li1 0.1704 0.8296 0.0000  6 O 2.18-2.34
Li2 0.8296 0.1704 0.0000  6 O 2.18-2.34
Ir1 0.0000 0.0000 0.5000  6 O 2.04-2.05
Pd1 0.3370 0.6630 0.5000  6 O 2.04-2.26
Pd2 0.6630 0.3370 0.5000  6 O 2.04-2.26
O1 0.0620 0.3982 0.7182  1 Ir 2.04, 2 Pd 2.04-2.26, 1 Li 2.20
O2 0.2286 0.2286 0.2836  1 Ir 2.05, 2 Pd 2.11, 2 Li 2.18
O3 0.3982 0.0620 0.7182  1 Ir 2.04, 2 Pd 2.04-2.26, 1 Li 2.20
O4 0.6018 0.9380 0.2818  1 Ir 2.04, 2 Pd 2.04-2.26, 1 Li 2.20
O5 0.7714 0.7714 0.7164  1 Ir 2.05, 2 Pd 2.11, 2 Li 2.18
O6 0.9380 0.6018 0.2818  1 Ir 2.04, 2 Pd 2.04-2.26, 1 Li 2.20

The value obtained for the total magnetic moment is 0.073 μB/atom. Its raw formation energy is -845 meV per atom. As for the total energy: -5.65 eV/atom.

---

VASP calculation (PBE-GGA) on PuCu12Ge6 after structural relaxation.

abc: 6.8502 6.8502 6.8502
angles: 103.13 103.13 103.13
With the nearest neighbours (Å) after each atom.
Fractional coordinates of all 19 atoms:
Pu1 0.0000 0.0000 0.0000  6 Cu 3.09
Cu1 0.1125 0.5000 0.8875  4 Ge 2.39-2.51, 3 Cu 2.41-2.64
Cu2 0.1125 0.8875 0.5000  4 Ge 2.39-2.51, 3 Cu 2.41-2.64
Cu3 0.1415 0.3884 0.3884  4 Ge 2.52-2.80, 4 Cu 2.64-2.65
Cu4 0.3884 0.1415 0.3884  4 Ge 2.52-2.80, 4 Cu 2.64-2.65
Cu5 0.3884 0.3884 0.1415  4 Ge 2.52-2.80, 4 Cu 2.64-2.65
Cu6 0.5000 0.1125 0.8875  4 Ge 2.39-2.51, 3 Cu 2.41-2.64
Cu7 0.5000 0.8875 0.1125  4 Ge 2.39-2.51, 3 Cu 2.41-2.64
Cu8 0.6116 0.6116 0.8585  4 Ge 2.52-2.80, 4 Cu 2.64-2.65
Cu9 0.6116 0.8585 0.6116  4 Ge 2.52-2.80, 4 Cu 2.64-2.65
Cu10 0.8585 0.6116 0.6116  4 Ge 2.52-2.80, 4 Cu 2.64-2.65
Cu11 0.8875 0.1125 0.5000  4 Ge 2.39-2.51, 3 Cu 2.41-2.64
Cu12 0.8875 0.5000 0.1125  4 Ge 2.39-2.51, 3 Cu 2.41-2.64
Ge1 0.2689 0.2689 0.7032  6 Cu 2.39-2.52
Ge2 0.2689 0.7032 0.2689  6 Cu 2.39-2.52
Ge3 0.2968 0.7311 0.7311  6 Cu 2.39-2.52
Ge4 0.7032 0.2689 0.2689  6 Cu 2.39-2.52
Ge5 0.7311 0.2968 0.7311  6 Cu 2.39-2.52
Ge6 0.7311 0.7311 0.2968  6 Cu 2.39-2.52

The value obtained for the total magnetic moment is 0.290 μB/atom. The formation energy comes out at 0.1034 eV per atom. As for the total energy: -4.70 eV/atom.

---

VASP calculation (PBE-GGA) on SrZnOs2 after structural relaxation.

abc: 2.9548 2.9548 8.3615
angles: 90.00 90.00 90.00
With the nearest neighbours (Å) after each atom.
Fractional coordinates of all 4 atoms:
Sr1 0.0000 0.0000 0.0000  4 Sr 2.95, 4 Os 3.22
Zn1 0.5000 0.5000 0.3101  4 Os 2.72, 4 Zn 2.95
Os1 0.0000 0.0000 0.5190  4 Os 2.62, 4 Zn 2.72
Os2 0.5000 0.5000 0.7071  4 Os 2.62

The value obtained for the total magnetic moment is 0.096 μB/atom. The formation energy comes out at 0.4015 eV per atom. As for the total energy: -5.95 eV/atom.

---

VASP calculation (PBE-GGA) on KCrRe after structural relaxation.

abc: 3.0735 4.7006 15.7996
angles: 90.00 90.00 90.00
With the nearest neighbours (Å) after each atom.
Fractional coordinates of all 12 atoms:
K1 0.0000 0.0000 0.0000  6 K 2.81-3.07
K2 0.0000 0.5000 0.5000  6 K 2.81-3.07
K3 0.5000 0.0000 0.5000  6 K 2.81-3.07
K4 0.5000 0.5000 0.0000  6 K 2.81-3.07
Cr1 0.0000 0.0000 0.6939  2 Re 2.36
Cr2 0.0000 0.5000 0.1939  2 Re 2.36
Cr3 0.5000 0.0000 0.1939  2 Re 2.36
Cr4 0.5000 0.5000 0.6939  2 Re 2.36
Re1 0.0000 0.0000 0.3068  2 Cr 2.36
Re2 0.0000 0.5000 0.8068  2 Cr 2.36
Re3 0.5000 0.0000 0.8068  2 Cr 2.36
Re4 0.5000 0.5000 0.3068  2 Cr 2.36

The value obtained for the total magnetic moment is 0.001 μB/atom. The formation energy comes out at 1.0654 eV per atom. Its energy above the most stable polymorph in this dataset is 99 meV per atom. As for the total energy: -6.66 eV/atom.

---

> Which formula does entry 1 have?

KAg2Au

---

> Which of these has the lowest total magnetic moment?

KAg2Au